# Rh2WSe GGA-PBE relaxed
data_Rh2WSe
_chemical_formula_sum 'Rh2 W1 Se1'
_cell_length_a 5.3713
_cell_length_b 5.3713
_cell_length_c 5.3713
_cell_angle_alpha 148.06
_cell_angle_beta 130.68
_cell_angle_gamma 59.97
_space_group_name_H-M_alt 'P 1'
_space_group_IT_number 1
_space_group_name_Hall 'P 1'
loop_
_atom_site_label
_atom_site_fract_x
_atom_site_fract_y
_atom_site_fract_z
Se1 0.4935 0.4935 0.0000
Rh1 0.7240 0.2240 0.5000
Rh2 0.0123 0.0123 0.0000
W1 0.2702 0.7702 0.5000
# M_tot, μB/cell: 0.0
# Raw formation energy, eV per formula unit: 0.6
# Calculated volume, Å³/cell: 61.6

# RhWSe GGA-PBE relaxed
data_RhWSe
_chemical_formula_sum 'Rh1 W1 Se1'
_cell_length_a 4.1550
_cell_length_b 4.1550
_cell_length_c 4.1550
_cell_angle_alpha 60.00
_cell_angle_beta 60.00
_cell_angle_gamma 60.00
_space_group_name_H-M_alt 'P 1'
_space_group_IT_number 1
_space_group_name_Hall 'P 1'
loop_
_atom_site_label
_atom_site_fract_x
_atom_site_fract_y
_atom_site_fract_z
Rh1 0.5000 0.5000 0.5000
Se1 0.7500 0.7500 0.7500
W1 0.0000 0.0000 0.0000
# M_tot, μB/cell: 0.0
# Raw formation energy, eV per formula unit: 1.5
# Calculated volume, Å³/cell: 50.7
# Offset from the most stable computed form, eV per atom: 0.5274

# RhWSe2 GGA-PBE relaxed
data_RhWSe2
_chemical_formula_sum 'Rh4 W4 Se8'
_cell_length_a 7.2953
_cell_length_b 3.3050
_cell_length_c 13.5266
_cell_angle_alpha 90.00
_cell_angle_beta 103.11
_cell_angle_gamma 90.00
_space_group_name_H-M_alt 'P 1'
_space_group_IT_number 1
_space_group_name_Hall 'P 1'
loop_
_atom_site_label
_atom_site_fract_x
_atom_site_fract_y
_atom_site_fract_z
Se1 0.9208 0.5000 0.2993
Se2 0.8724 0.5000 0.0122
Se3 0.4702 0.0000 0.1245
Se4 0.4510 0.5000 0.3599
Se5 0.4702 0.5000 0.6245
Se6 0.4510 0.0000 0.8599
Se7 0.9208 0.0000 0.7993
Se8 0.8724 0.0000 0.5122
W1 0.2485 0.5000 0.1790
W2 0.2485 0.0000 0.6790
W3 0.1414 0.0000 0.0113
W4 0.1414 0.5000 0.5113
Rh1 0.2063 0.0000 0.3519
Rh2 0.9374 0.5000 0.6630
Rh3 0.9374 0.0000 0.1630
Rh4 0.2063 0.5000 0.8519
# M_tot, μB/cell: 0.0
# Raw formation energy, eV per formula unit: -0.7
# Calculated volume, Å³/cell: 317.6
# Offset from the most stable computed form, eV per atom: 0.0307

# RhWSe2 GGA-PBE relaxed
data_RhWSe2
_chemical_formula_sum 'Rh1 W1 Se2'
_cell_length_a 4.3909
_cell_length_b 4.3909
_cell_length_c 5.3025
_cell_angle_alpha 81.61
_cell_angle_beta 81.61
_cell_angle_gamma 41.61
_space_group_name_H-M_alt 'P 1'
_space_group_IT_number 1
_space_group_name_Hall 'P 1'
loop_
_atom_site_label
_atom_site_fract_x
_atom_site_fract_y
_atom_site_fract_z
W1 0.7500 0.7500 0.7500
Se1 0.4729 0.4729 0.5170
Se2 0.0271 0.0271 0.9830
Rh1 0.2500 0.2500 0.2500
# M_tot, μB/cell: 0.0
# Raw formation energy, eV per formula unit: 0.7
# Calculated volume, Å³/cell: 67.1
# Offset from the most stable computed form, eV per atom: 0.3867

# Rh2WSe GGA-PBE relaxed
data_Rh2WSe
_chemical_formula_sum 'Rh4 W2 Se2'
_cell_length_a 5.7262
_cell_length_b 5.7262
_cell_length_c 6.6839
_cell_angle_alpha 64.64
_cell_angle_beta 64.64
_cell_angle_gamma 90.00
_space_group_name_H-M_alt 'P 1'
_space_group_IT_number 1
_space_group_name_Hall 'P 1'
loop_
_atom_site_label
_atom_site_fract_x
_atom_site_fract_y
_atom_site_fract_z
W1 0.7500 0.2500 0.5000
W2 0.0000 0.0000 0.0000
Se1 0.5000 0.5000 0.0000
Se2 0.2500 0.7500 0.5000
Rh1 0.8750 0.8771 0.7500
Rh2 0.3750 0.3729 0.7500
Rh3 0.1229 0.6250 0.2500
Rh4 0.6271 0.1250 0.2500
# M_tot, μB/cell: 0.0
# Raw formation energy, eV per formula unit: 1.9
# Calculated volume, Å³/cell: 174.4

# RhWSe2 GGA-PBE relaxed
data_RhWSe2
_chemical_formula_sum 'Rh2 W2 Se4'
_cell_length_a 4.3608
_cell_length_b 5.6934
_cell_length_c 7.5932
_cell_angle_alpha 86.49
_cell_angle_beta 74.53
_cell_angle_gamma 76.54
_space_group_name_H-M_alt 'P 1'
_space_group_IT_number 1
_space_group_name_Hall 'P 1'
loop_
_atom_site_label
_atom_site_fract_x
_atom_site_fract_y
_atom_site_fract_z
Rh1 0.8978 0.3765 0.0338
Rh2 0.9462 0.6766 0.7372
Se1 0.7155 0.0066 0.0300
Se2 0.2856 0.6052 0.1185
Se3 0.1127 0.2576 0.6126
Se4 0.5219 0.7225 0.5539
W1 0.4865 0.4020 0.8117
W2 0.3187 0.9550 0.8543
# M_tot, μB/cell: 0.1
# Raw formation energy, eV per formula unit: -0.6
# Calculated volume, Å³/cell: 176.7
# Offset from the most stable computed form, eV per atom: 0.0739

# Rh2WSe GGA-PBE relaxed
data_Rh2WSe
_chemical_formula_sum 'Rh2 W1 Se1'
_cell_length_a 4.7780
_cell_length_b 4.7780
_cell_length_c 2.8699
_cell_angle_alpha 89.99
_cell_angle_beta 89.99
_cell_angle_gamma 110.39
_space_group_name_H-M_alt 'P 1'
_space_group_IT_number 1
_space_group_name_Hall 'P 1'
loop_
_atom_site_label
_atom_site_fract_x
_atom_site_fract_y
_atom_site_fract_z
Se1 0.5000 0.0000 0.5000
W1 0.0000 0.5000 0.5000
Rh1 0.0000 0.0000 0.0000
Rh2 0.5000 0.5000 0.0000
# M_tot, μB/cell: 0.0
# Raw formation energy, eV per formula unit: 0.9
# Calculated volume, Å³/cell: 61.4

# Y2RhSe GGA-PBE relaxed
data_Y2RhSe
_chemical_formula_sum 'Y2 Rh1 Se1'
_cell_length_a 4.9496
_cell_length_b 4.9496
_cell_length_c 4.9496
_cell_angle_alpha 60.00
_cell_angle_beta 60.00
_cell_angle_gamma 60.00
_space_group_name_H-M_alt 'P 1'
_space_group_IT_number 1
_space_group_name_Hall 'P 1'
loop_
_atom_site_label
_atom_site_fract_x
_atom_site_fract_y
_atom_site_fract_z
Y1 0.2500 0.2500 0.2500
Y2 0.0000 0.0000 0.0000
Rh1 0.5000 0.5000 0.5000
Se1 0.7500 0.7500 0.7500
# M_tot, μB/cell: 0.0
# Raw formation energy, eV per formula unit: -1.0
# Calculated volume, Å³/cell: 85.7

# YRhSe GGA-PBE relaxed
data_YRhSe
_chemical_formula_sum 'Y1 Rh1 Se1'
_cell_length_a 4.3060
_cell_length_b 4.3060
_cell_length_c 3.6851
_cell_angle_alpha 90.00
_cell_angle_beta 90.00
_cell_angle_gamma 120.00
_space_group_name_H-M_alt 'P 1'
_space_group_IT_number 1
_space_group_name_Hall 'P 1'
loop_
_atom_site_label
_atom_site_fract_x
_atom_site_fract_y
_atom_site_fract_z
Rh1 0.0000 0.0000 0.1547
Y1 0.6667 0.3333 0.6679
Se1 0.3333 0.6667 0.1774
# M_tot, μB/cell: 0.0
# Raw formation energy, eV per formula unit: -3.5
# Calculated volume, Å³/cell: 59.2

# Y2RhSe GGA-PBE relaxed
data_Y2RhSe
_chemical_formula_sum 'Y2 Rh1 Se1'
_cell_length_a 3.9766
_cell_length_b 3.9766
_cell_length_c 7.5009
_cell_angle_alpha 74.63
_cell_angle_beta 74.63
_cell_angle_gamma 60.00
_space_group_name_H-M_alt 'P 1'
_space_group_IT_number 1
_space_group_name_Hall 'P 1'
loop_
_atom_site_label
_atom_site_fract_x
_atom_site_fract_y
_atom_site_fract_z
Y1 0.2590 0.2590 0.2231
Y2 0.0749 0.0749 0.7753
Rh1 0.6659 0.6659 0.0024
Se1 0.5002 0.5002 0.4993
# M_tot, μB/cell: 0.0
# Raw formation energy, eV per formula unit: -4.8
# Calculated volume, Å³/cell: 97.8

# Y2RhSe GGA-PBE relaxed
data_Y2RhSe
_chemical_formula_sum 'Y2 Rh1 Se1'
_cell_length_a 5.7421
_cell_length_b 5.7421
_cell_length_c 4.3112
_cell_angle_alpha 90.00
_cell_angle_beta 90.00
_cell_angle_gamma 38.86
_space_group_name_H-M_alt 'P 1'
_space_group_IT_number 1
_space_group_name_Hall 'P 1'
loop_
_atom_site_label
_atom_site_fract_x
_atom_site_fract_y
_atom_site_fract_z
Y1 0.7321 0.7321 0.6251
Y2 0.0113 0.0113 0.1249
Rh1 0.4695 0.4695 0.6248
Se1 0.2871 0.2871 0.1251
# M_tot, μB/cell: 0.0
# Raw formation energy, eV per formula unit: -4.7
# Calculated volume, Å³/cell: 89.2

# Y2RhSe GGA-PBE relaxed
data_Y2RhSe
_chemical_formula_sum 'Y2 Rh1 Se1'
_cell_length_a 3.4928
_cell_length_b 3.5226
_cell_length_c 7.9743
_cell_angle_alpha 63.70
_cell_angle_beta 90.00
_cell_angle_gamma 90.00
_space_group_name_H-M_alt 'P 1'
_space_group_IT_number 1
_space_group_name_Hall 'P 1'
loop_
_atom_site_label
_atom_site_fract_x
_atom_site_fract_y
_atom_site_fract_z
Se1 0.5000 0.7500 0.7500
Rh1 0.5000 0.2500 0.2500
Y1 0.0000 0.5166 0.4839
Y2 0.0000 0.9834 0.0161
# M_tot, μB/cell: 0.0
# Raw formation energy, eV per formula unit: -4.5
# Calculated volume, Å³/cell: 88.0

# Y4RhSe3 GGA-PBE relaxed
data_Y4RhSe3
_chemical_formula_sum 'Y4 Rh1 Se3'
_cell_length_a 4.0261
_cell_length_b 7.1680
_cell_length_c 7.1680
_cell_angle_alpha 108.70
_cell_angle_beta 90.00
_cell_angle_gamma 90.00
_space_group_name_H-M_alt 'P 1'
_space_group_IT_number 1
_space_group_name_Hall 'P 1'
loop_
_atom_site_label
_atom_site_fract_x
_atom_site_fract_y
_atom_site_fract_z
Se1 0.5000 0.5000 0.5000
Se2 0.0000 0.5000 0.0000
Se3 0.0000 0.0000 0.5000
Y1 0.5000 0.7592 0.2408
Y2 0.0000 0.2305 0.2305
Y3 0.5000 0.2408 0.7592
Y4 0.0000 0.7695 0.7695
Rh1 0.5000 0.0000 0.0000
# M_tot, μB/cell: 0.0
# Raw formation energy, eV per formula unit: -12.1
# Calculated volume, Å³/cell: 195.9

# Y2RhSe GGA-PBE relaxed
data_Y2RhSe
_chemical_formula_sum 'Y2 Rh1 Se1'
_cell_length_a 4.0874
_cell_length_b 4.0874
_cell_length_c 5.7173
_cell_angle_alpha 90.00
_cell_angle_beta 90.00
_cell_angle_gamma 90.00
_space_group_name_H-M_alt 'P 1'
_space_group_IT_number 1
_space_group_name_Hall 'P 1'
loop_
_atom_site_label
_atom_site_fract_x
_atom_site_fract_y
_atom_site_fract_z
Y1 0.0000 0.0000 0.8753
Y2 0.5000 0.5000 0.3748
Rh1 0.0000 0.0000 0.3751
Se1 0.5000 0.5000 0.8748
# M_tot, μB/cell: 0.0
# Raw formation energy, eV per formula unit: -4.6
# Calculated volume, Å³/cell: 95.5